# 1
A plane-wave DFT calculation with PBE was carried out for Zn2Ni2Pt after structural relaxation.

Output
VASP energy	-0.30897	Ry per atom
crystal system	tetragonal
ρ	11.2	g/cm3
SG	No. 127
size of the total moment	0.0000	μB per atom

Lattice parameters (Å, degrees): 6.873 6.873 2.775 90.00 90.00 90.00
Element x y z (fractional)
1 Zn 0.173 0.327 0.000
2 Zn 0.327 0.827 0.000
3 Zn 0.673 0.173 0.000
4 Zn 0.827 0.673 0.000
5 Ni 0.124 0.624 0.500
6 Ni 0.376 0.124 0.500
7 Ni 0.624 0.876 0.500
8 Ni 0.876 0.376 0.500
9 Pt 0.000 0.000 0.500
10 Pt 0.500 0.500 0.500

# 2
A plane-wave DFT calculation with PBE was carried out for Zn2NiPt3 after structural relaxation.

Output
VASP energy	-0.35051	Ry per atom
crystal system	tetragonal
ρ	15.0	g/cm3
SG	No. 123
size of the total moment	0.1342	μB per atom

Lattice parameters (Å, degrees): 3.126 3.126 8.759 90.00 90.00 90.00
Element x y z (fractional)
1 Zn 0.000 0.000 0.173
2 Zn 0.000 0.000 0.827
3 Ni 0.000 0.000 0.500
4 Pt 0.500 0.500 0.000
5 Pt 0.500 0.500 0.340
6 Pt 0.500 0.500 0.660

# 3
A plane-wave DFT calculation with PBE was carried out for Zn2NiPt after structural relaxation.

Output
VASP energy	-0.29285	Ry per atom
crystal system	tetragonal
ρ	11.9	g/cm3
SG	No. 123
size of the total moment	0.0000	μB per atom

Lattice parameters (Å, degrees): 2.842 2.842 6.643 90.00 90.00 90.00
Element x y z (fractional)
1 Zn 0.000 0.000 0.231
2 Zn 0.000 0.000 0.769
3 Ni 0.500 0.500 0.000
4 Pt 0.500 0.500 0.500

# 4
A plane-wave DFT calculation with PBE was carried out for ZnNi2Pt after structural relaxation.

Output
VASP energy	-0.35952	Ry per atom
crystal system	orthorhombic
ρ	12.2	g/cm3
SG	No. 44
size of the total moment	0.0721	μB per atom

Lattice parameters (Å, degrees): 4.986 4.986 4.986 147.63 128.73 61.95
Element x y z (fractional)
1 Zn 0.000 0.000 0.000
2 Ni 0.522 0.522 0.000
3 Ni 0.758 0.258 0.500
4 Pt 0.262 0.762 0.500

> The lowest ρ belongs to which entry?

Zn2Ni2Pt

> Which value of size of the total moment does entry 4 give?

0.0721 μB per atom

> Which of these has the highest VASP energy?

Zn2NiPt